{
  "formula": "ZnNiGe2",
  "functional": "GGA-PBE",
  "state": "relaxed",
  "spacegroup": "No. 216",
  "energy_ev_per_atom": -3.79,
  "lattice_angstrom": [[0.000, 3.140, 3.140], [3.140, 0.000, 3.140], [3.140, 3.140, 0.000]],
  "species": ["Ni", "Zn", "Ge", "Ge"],
  "frac_coords": [[0.750, 0.750, 0.750], [0.500, 0.500, 0.500], [0.000, 0.000, 0.000], [0.250, 0.250, 0.250]]
}